Density functional theory data (GGA-PBE) for a geometry-optimized LiAlSn3 structure.

The structure belongs to space group Pm-3m (No. 221); the cell edges are 5.342, 5.342 and 5.342 Å and the angles 90.00°, 90.00° and 90.00°. The inequivalent atoms are Li at (0.000, 0.000, 0.000), Al at (0.500, 0.500, 0.500) and Sn at (0.000, 0.500, 0.500).

The raw total energy comes out at -16.10 eV per cell.

Density functional theory data (GGA-PBE) for a geometry-optimized LiAlSn structure.

The structure belongs to space group P1 (No. 1); the cell edges are 4.266, 4.312 and 6.884 Å and the angles 97.59°, 107.30° and 90.12°. The inequivalent atoms are Li at (0.000, 0.000, 0.000), Li at (0.349, 0.952, 0.684), Al at (0.500, 0.494, 0.999), Al at (0.643, 0.044, 0.298), Sn at (0.153, 0.543, 0.314) and Sn at (0.852, 0.446, 0.695).

The raw total energy comes out at -20.05 eV per cell.

Density functional theory data (GGA-PBE) for a geometry-optimized LiAlSn structure.

The structure belongs to space group Pnma (No. 62); the cell edges are 5.793, 4.361 and 9.438 Å and the angles 90.00°, 90.00° and 90.00°. The inequivalent atoms are Li at (0.136, 0.250, 0.086), Al at (0.108, 0.250, 0.747) and Sn at (0.145, 0.250, 0.410).

The raw total energy comes out at -40.16 eV per cell.